(1)
Compound: TlZnAs2
Source: the Alexandria database
Functional: PBE-GGA
Structure: optimized geometry

Its calculated formation energy is 0.23 eV per atom. The calculation puts the energy at -3.004 eV per atom.

The structure belongs to space group P4/mmm (No. 123); the cell edges are 3.9003, 3.9003 and 5.9151 Å and the angles 90.00°, 90.00° and 90.00°. The asymmetric unit holds Tl at (0.0000, 0.0000, 0.0000), Zn at (0.5000, 0.5000, 0.0000), As at (0.0000, 0.0000, 0.5000) and As at (0.5000, 0.5000, 0.5000).

---

(2)
Compound: TlZn2As
Source: the Alexandria database
Functional: PBE-GGA
Structure: optimized geometry

Its calculated formation energy is 0.22 eV per atom. The calculation puts the energy at -2.167 eV per atom.

The structure belongs to space group Imm2 (No. 44); the cell edges are 3.0389, 5.1613 and 10.7699 Å and the angles 90.00°, 90.00° and 90.00°. The asymmetric unit holds Tl at (0.0000, 0.0000, 0.0000), Zn at (0.0000, 0.0000, 0.5156), Zn at (0.0000, 0.5000, 0.8018) and As at (0.0000, 0.5000, 0.2208).

---

(3)
Compound: TlZn2As
Source: the Alexandria database
Functional: PBE-GGA
Structure: optimized geometry

Its calculated formation energy is 0.18 eV per atom. The calculation puts the energy at -2.208 eV per atom.

The structure belongs to space group Immm (No. 71); the cell edges are 3.9549, 5.5902 and 7.8861 Å and the angles 90.00°, 90.00° and 90.00°. The asymmetric unit holds Tl at (0.0000, 0.0000, 0.0000), Zn at (0.0000, 0.5000, 0.2189) and As at (0.0000, 0.0000, 0.5000).

---

(4)
Compound: TlZnAs2
Source: the Alexandria database
Functional: PBE-GGA
Structure: optimized geometry

Its calculated formation energy is 0.20 eV per atom. The calculation puts the energy at -3.038 eV per atom.

The structure belongs to space group Cmmm (No. 65); the cell edges are 3.8216, 4.9055 and 9.3561 Å and the angles 90.00°, 90.00° and 90.00°. The asymmetric unit holds Tl at (0.0000, 0.0000, 0.0000), Zn at (0.0000, 0.0000, 0.5000) and As at (0.0000, 0.5000, 0.3024).

---

(5)
Compound: Tl4Zn5As6
Source: the Alexandria database
Functional: PBE-GGA
Structure: optimized geometry

Its calculated formation energy is -0.03 eV per atom. The calculation puts the energy at -2.950 eV per atom.

The structure belongs to space group Cmcm (No. 63); the cell edges are 4.2281, 19.4993 and 17.7126 Å and the angles 90.00°, 90.00° and 90.00°. The asymmetric unit holds Tl at (0.0000, 0.0119, 0.1196), Tl at (0.0000, 0.1888, 0.0749), Zn at (0.0000, 0.1224, 0.7500), Zn at (0.0000, 0.2657, 0.7500), Zn at (0.0000, 0.3723, 0.1191), Zn at (0.0000, 0.4234, 0.7500), As at (0.0000, 0.1478, 0.2500), As at (0.0000, 0.1990, 0.6273), As at (0.0000, 0.4377, 0.5053) and As at (0.0000, 0.4479, 0.2500).

---

(6)
Compound: TlZn3As
Source: the Alexandria database
Functional: PBE-GGA
Structure: optimized geometry

Its calculated formation energy is 0.82 eV per atom. The calculation puts the energy at -1.348 eV per atom.

The structure belongs to space group Pm-3m (No. 221); the cell edges are 5.1454, 5.1454 and 5.1454 Å and the angles 90.00°, 90.00° and 90.00°. The asymmetric unit holds Tl at (0.0000, 0.0000, 0.0000), Zn at (0.0000, 0.0000, 0.5000) and As at (0.5000, 0.5000, 0.5000).

---

(7)
Compound: Tl2ZnAs
Source: the Alexandria database
Functional: PBE-GGA
Structure: optimized geometry

Its calculated formation energy is 0.17 eV per atom. The calculation puts the energy at -2.493 eV per atom.

The structure belongs to space group Fm-3m (No. 225); the cell edges are 7.3905, 7.3905 and 7.3905 Å and the angles 90.00°, 90.00° and 90.00°. The asymmetric unit holds Tl at (0.2500, 0.2500, 0.2500), Zn at (0.0000, 0.0000, 0.0000) and As at (0.0000, 0.0000, 0.5000).

---

(8)
Compound: TlZnAs2
Source: the Alexandria database
Functional: PBE-GGA
Structure: optimized geometry

Its calculated formation energy is 0.34 eV per atom. The calculation puts the energy at -2.897 eV per atom.

The structure belongs to space group I-4m2 (No. 119); the cell edges are 4.8855, 4.8855 and 7.2221 Å and the angles 90.00°, 90.00° and 90.00°. The asymmetric unit holds Tl at (0.0000, 0.0000, 0.0000), Zn at (0.0000, 0.5000, 0.7500), As at (0.0000, 0.0000, 0.5000) and As at (0.0000, 0.5000, 0.2500).

---

(9)
Compound: Tl2ZnAs
Source: the Alexandria database
Functional: PBE-GGA
Structure: optimized geometry

Its calculated formation energy is 0.07 eV per atom. The calculation puts the energy at -2.599 eV per atom.

The structure belongs to space group Imm2 (No. 44); the cell edges are 4.0498, 4.5039 and 12.4462 Å and the angles 90.00°, 90.00° and 90.00°. The asymmetric unit holds Tl at (0.0000, 0.0000, 0.0000), Tl at (0.0000, 0.5000, 0.2119), Zn at (0.0000, 0.5000, 0.7922) and As at (0.0000, 0.0000, 0.4004).

---

(10)
Compound: TlZn2As
Source: the Alexandria database
Functional: PBE-GGA
Structure: optimized geometry

Its calculated formation energy is 0.25 eV per atom. The calculation puts the energy at -2.138 eV per atom.

The structure belongs to space group C2/m (No. 12); the cell edges are 6.7011, 7.8761 and 3.2386 Å and the angles 90.00°, 103.34° and 90.00°. The asymmetric unit holds Tl at (0.0000, 0.0000, 0.0000), Zn at (0.2500, 0.2500, 0.5000) and As at (0.0000, 0.5000, 0.0000).

---

(11)
Compound: TlZnAs2
Source: the Alexandria database
Functional: PBE-GGA
Structure: optimized geometry

Its calculated formation energy is 0.11 eV per atom. The calculation puts the energy at -3.121 eV per atom.

The structure belongs to space group P4/mmm (No. 123); the cell edges are 3.6246, 3.6246 and 6.9406 Å and the angles 90.00°, 90.00° and 90.00°. The asymmetric unit holds Tl at (0.0000, 0.0000, 0.0000), Zn at (0.0000, 0.0000, 0.5000) and As at (0.5000, 0.5000, 0.3245).

---

(12)
Compound: TlZnAs2
Source: the Alexandria database
Functional: PBE-GGA
Structure: optimized geometry

Its calculated formation energy is 0.39 eV per atom. The calculation puts the energy at -2.843 eV per atom.

The structure belongs to space group Fm-3m (No. 225); the cell edges are 7.0148, 7.0148 and 7.0148 Å and the angles 90.00°, 90.00° and 90.00°. The asymmetric unit holds Tl at (0.0000, 0.0000, 0.0000), Zn at (0.0000, 0.0000, 0.5000) and As at (0.2500, 0.2500, 0.2500).

---

(13)
Compound: TlZnAs2
Source: the Alexandria database
Functional: PBE-GGA
Structure: optimized geometry

Its calculated formation energy is 0.19 eV per atom. The calculation puts the energy at -3.046 eV per atom.

The structure belongs to space group Imm2 (No. 44); the cell edges are 3.5500, 5.5279 and 9.9762 Å and the angles 90.00°, 90.00° and 90.00°. The asymmetric unit holds Tl at (0.0000, 0.0000, 0.0000), Zn at (0.0000, 0.5000, 0.7846), As at (0.0000, 0.0000, 0.5285) and As at (0.0000, 0.5000, 0.2018).

---

(14)
Compound: Tl2ZnAs
Source: the Alexandria database
Functional: PBE-GGA
Structure: optimized geometry

Its calculated formation energy is 0.17 eV per atom. The calculation puts the energy at -2.496 eV per atom.

The structure belongs to space group R-3m (No. 166, hexagonal axes); the cell edges are 4.3358, 4.3358 and 19.5874 Å and the angles 90.00°, 90.00° and 120.00°. The asymmetric unit holds Tl at (0.0000, 0.0000, 0.2461), Zn at (0.0000, 0.0000, 0.0000) and As at (0.0000, 0.0000, 0.5000).

---

(15)
Compound: TlZn2As
Source: the Alexandria database
Functional: PBE-GGA
Structure: optimized geometry

Its calculated formation energy is 0.26 eV per atom. The calculation puts the energy at -2.127 eV per atom.

The structure belongs to space group Cmmm (No. 65); the cell edges are 6.4935, 7.8971 and 3.1830 Å and the angles 90.00°, 90.00° and 90.00°. The asymmetric unit holds Tl at (0.0000, 0.0000, 0.0000), Zn at (0.2500, 0.2500, 0.5000) and As at (0.0000, 0.5000, 0.0000).

---

(16)
Compound: TlZnAs2
Source: the Alexandria database
Functional: PBE-GGA
Structure: optimized geometry

Its calculated formation energy is 0.11 eV per atom. The calculation puts the energy at -3.124 eV per atom.

The structure belongs to space group R3m (No. 160, hexagonal axes); the cell edges are 3.8043, 3.8043 and 22.1006 Å and the angles 90.00°, 90.00° and 120.00°. The asymmetric unit holds Tl at (0.0000, 0.0000, 0.0000), Zn at (0.0000, 0.0000, 0.7588), As at (0.0000, 0.0000, 0.2315) and As at (0.0000, 0.0000, 0.4997).

---

(17)
Compound: Tl2ZnAs
Source: the Alexandria database
Functional: PBE-GGA
Structure: optimized geometry

Its calculated formation energy is 0.21 eV per atom. The calculation puts the energy at -2.458 eV per atom.

The structure belongs to space group F-43m (No. 216); the cell edges are 7.3728, 7.3728 and 7.3728 Å and the angles 90.00°, 90.00° and 90.00°. The asymmetric unit holds Tl at (0.0000, 0.0000, 0.0000), Tl at (0.2500, 0.2500, 0.2500), Zn at (0.0000, 0.0000, 0.5000) and As at (0.2500, 0.2500, 0.7500).

---

(18)
Compound: TlZn2As
Source: the Alexandria database
Functional: PBE-GGA
Structure: optimized geometry

Its calculated formation energy is 0.22 eV per atom. The calculation puts the energy at -2.172 eV per atom.

The structure belongs to space group Fm-3m (No. 225); the cell edges are 6.9531, 6.9531 and 6.9531 Å and the angles 90.00°, 90.00° and 90.00°. The asymmetric unit holds Tl at (0.0000, 0.0000, 0.0000), Zn at (0.2500, 0.2500, 0.2500) and As at (0.0000, 0.0000, 0.5000).

---

(19)
Compound: TlZn2As
Source: the Alexandria database
Functional: PBE-GGA
Structure: optimized geometry

Its calculated formation energy is 0.17 eV per atom. The calculation puts the energy at -2.219 eV per atom.

The structure belongs to space group Cmm2 (No. 35); the cell edges are 4.2396, 4.9720 and 8.0999 Å and the angles 90.00°, 90.00° and 90.00°. The asymmetric unit holds Tl at (0.0000, 0.0000, 0.0000), Zn at (0.0000, 0.0000, 0.4648), Zn at (0.0000, 0.5000, 0.2766) and As at (0.0000, 0.5000, 0.6541).

---

(20)
Compound: Tl2ZnAs
Source: the Alexandria database
Functional: PBE-GGA
Structure: optimized geometry

Its calculated formation energy is 0.28 eV per atom. The calculation puts the energy at -2.385 eV per atom.

The structure belongs to space group R-3m (No. 166, hexagonal axes); the cell edges are 3.3292, 3.3292 and 31.9407 Å and the angles 90.00°, 90.00° and 120.00°. The asymmetric unit holds Tl at (0.0000, 0.0000, 0.2486), Zn at (0.0000, 0.0000, 0.0000) and As at (0.0000, 0.0000, 0.5000).

---

(21)
Compound: TlZnAs2
Source: the Alexandria database
Functional: PBE-GGA
Structure: optimized geometry

Its calculated formation energy is 0.18 eV per atom. The calculation puts the energy at -3.054 eV per atom.

The structure belongs to space group R-3m (No. 166, hexagonal axes); the cell edges are 3.2124, 3.2124 and 29.3632 Å and the angles 90.00°, 90.00° and 120.00°. The asymmetric unit holds Tl at (0.0000, 0.0000, 0.0000), Zn at (0.0000, 0.0000, 0.5000) and As at (0.0000, 0.0000, 0.2332).

---

(22)
Compound: ZrTl3As
Source: the Alexandria database
Functional: PBE-GGA
Structure: optimized geometry

Its calculated formation energy is 0.81 eV per atom. The calculation puts the energy at -3.249 eV per atom.

The structure belongs to space group Pm-3m (No. 221); the cell edges are 5.6565, 5.6565 and 5.6565 Å and the angles 90.00°, 90.00° and 90.00°. The asymmetric unit holds Zr at (0.0000, 0.0000, 0.0000), Tl at (0.0000, 0.0000, 0.5000) and As at (0.5000, 0.5000, 0.5000).

---

(23)
Compound: ZrTlAs2
Source: the Alexandria database
Functional: PBE-GGA
Structure: optimized geometry

Its calculated formation energy is -0.16 eV per atom. The calculation puts the energy at -5.212 eV per atom.

The structure belongs to space group I-4m2 (No. 119); the cell edges are 4.0553, 4.0553 and 10.3889 Å and the angles 90.00°, 90.00° and 90.00°. The asymmetric unit holds Zr at (0.0000, 0.0000, 0.0000), Tl at (0.0000, 0.5000, 0.2500), As at (0.0000, 0.0000, 0.5000) and As at (0.0000, 0.5000, 0.7500).

---

(24)
Compound: ZrTlAs2
Source: the Alexandria database
Functional: PBE-GGA
Structure: optimized geometry

Its calculated formation energy is -0.05 eV per atom. The calculation puts the energy at -5.107 eV per atom.

The structure belongs to space group Fm-3m (No. 225); the cell edges are 7.0531, 7.0531 and 7.0531 Å and the angles 90.00°, 90.00° and 90.00°. The asymmetric unit holds Zr at (0.0000, 0.0000, 0.0000), Tl at (0.0000, 0.0000, 0.5000) and As at (0.2500, 0.2500, 0.2500).

---

(25)
Compound: ZrTlAs
Source: the Alexandria database
Functional: PBE-GGA
Structure: optimized geometry

Its calculated formation energy is -0.36 eV per atom. The calculation puts the energy at -5.548 eV per atom.

The structure belongs to space group P4/nmm (No. 129, origin choice 2); the cell edges are 4.0451, 4.0451 and 8.5160 Å and the angles 90.00°, 90.00° and 90.00°. The asymmetric unit holds Zr at (0.2500, 0.2500, 0.1552), Tl at (0.2500, 0.7500, 0.5000) and As at (0.2500, 0.2500, 0.8418).

---

(26)
Compound: ZrTlAs2
Source: the Alexandria database
Functional: PBE-GGA
Structure: optimized geometry

Its calculated formation energy is 0.04 eV per atom. The calculation puts the energy at -5.012 eV per atom.

The structure belongs to space group R3m (No. 160, hexagonal axes); the cell edges are 3.5588, 3.5588 and 24.4410 Å and the angles 90.00°, 90.00° and 120.00°. The asymmetric unit holds Zr at (0.0000, 0.0000, 0.0000), Tl at (0.0000, 0.0000, 0.2346), As at (0.0000, 0.0000, 0.4800) and As at (0.0000, 0.0000, 0.7430).

---

(27)
Compound: ZrTlAs
Source: the Alexandria database
Functional: PBE-GGA
Structure: optimized geometry

Its calculated formation energy is -0.15 eV per atom. The calculation puts the energy at -5.342 eV per atom.

The structure belongs to space group P-6m2 (No. 187); the cell edges are 4.5717, 4.5717 and 4.1364 Å and the angles 90.00°, 90.00° and 120.00°. The asymmetric unit holds Zr at (0.0000, 0.0000, 0.0000), Tl at (0.3333, 0.6667, 0.5000) and As at (0.6667, 0.3333, 0.0000).

---

(28)
Compound: ZrTlAs
Source: the Alexandria database
Functional: PBE-GGA
Structure: optimized geometry

Its calculated formation energy is 0.05 eV per atom. The calculation puts the energy at -5.136 eV per atom.

The structure belongs to space group F-43m (No. 216); the cell edges are 6.7203, 6.7203 and 6.7203 Å and the angles 90.00°, 90.00° and 90.00°. The asymmetric unit holds Zr at (0.0000, 0.0000, 0.0000), Tl at (0.0000, 0.0000, 0.5000) and As at (0.2500, 0.2500, 0.7500).

---

(29)
Compound: ZrTlAs2
Source: the Alexandria database
Functional: PBE-GGA
Structure: optimized geometry

Its calculated formation energy is -0.34 eV per atom. The calculation puts the energy at -5.390 eV per atom.

The structure belongs to space group Amm2 (No. 38); the cell edges are 4.1470, 3.7997 and 11.5610 Å and the angles 90.00°, 90.00° and 90.00°. The asymmetric unit holds Zr at (0.0000, 0.0000, 0.0000), Tl at (0.5000, 0.0000, 0.7876), As at (0.0000, 0.0000, 0.3163) and As at (0.5000, 0.0000, 0.5556).